# PBE with a Hubbard U Eu2NiRuO6, optimized geometry
data_Eu2NiRuO6
_chemical_formula_sum 'Eu4 Ni2 Ru2 O12'
_cell_length_a 5.524
_cell_length_b 5.653
_cell_length_c 9.587
_cell_angle_alpha 90.00
_cell_angle_beta 125.09
_cell_angle_gamma 90.00
_symmetry_space_group_name_H-M 'P 1 21/c 1'
_symmetry_Int_Tables_number 14
loop_
_symmetry_equiv_pos_as_xyz
'x,y,z'
'-x,-y,-z'
'-x,y+1/2,-z+1/2'
'x,-y+1/2,z+1/2'
loop_
_atom_site_label
_atom_site_type_symbol
_atom_site_fract_x
_atom_site_fract_y
_atom_site_fract_z
Eu1 Eu 0.238 0.050 0.249
Ni1 Ni 0.000 0.000 0.500
Ru1 Ru 0.500 0.000 0.000
O1 O 0.168 0.199 0.958
O2 O 0.258 0.712 0.955
O3 O 0.340 0.023 0.756
# DFT total energy = -162.788 eV/cell
# magnetization = 35.54 μB/cell